No. 1
Computed, not measured: a relaxed ThAl2Fe3 crystal at the PBE-GGA level of DFT.

abc: 5.174 6.215 6.215
angles: 99.19 90.00 90.00
Site moments in Bohr magnetons follow the coordinates.
Fractional coordinates of all 12 atoms:
Th: 0.250 0.306 0.306  -0.17
Th: 0.750 0.694 0.694  -0.17
Al: 0.500 0.776 0.224  -0.04
Al: 0.000 0.776 0.224  -0.04
Al: 0.000 0.224 0.776  -0.04
Al: 0.500 0.224 0.776  -0.04
Fe: 0.750 0.434 0.100  1.88
Fe: 0.750 0.100 0.434  1.88
Fe: 0.250 0.566 0.900  1.88
Fe: 0.750 0.063 0.063  1.88
Fe: 0.250 0.937 0.937  1.88
Fe: 0.250 0.900 0.566  1.88

## Properties
E above lowest polymorph (eV per formula unit): 0.72



No. 2
Computed, not measured: a relaxed Th2Al3Fe2 crystal at the PBE-GGA level of DFT.

abc: 4.141 5.328 7.109
angles: 112.76 90.00 112.86
Fractional coordinates of all 7 atoms:
Th: 0.862 0.723 0.225
Th: 0.138 0.277 0.775
Al: 0.500 0.000 0.000
Al: 0.645 0.290 0.438
Al: 0.355 0.710 0.562
Fe: 0.874 0.747 0.795
Fe: 0.126 0.253 0.205



No. 3
Computed, not measured: a relaxed Th3AlFe4 crystal at the PBE-GGA level of DFT.

abc: 4.130 5.074 8.362
angles: 107.68 104.30 90.00
Site moments in Bohr magnetons follow the coordinates.
Fractional coordinates of all 8 atoms:
Th: 0.000 0.500 0.000  -0.17
Th: 0.188 0.188 0.376  -0.10
Th: 0.812 0.812 0.624  -0.10
Al: 0.500 0.000 0.000  -0.03
Fe: 0.373 0.593 0.746  0.94
Fe: 0.627 0.407 0.254  0.94
Fe: 0.627 0.846 0.253  0.94
Fe: 0.373 0.154 0.747  0.94



No. 4
Computed, not measured: a relaxed ThAl3Fe3 crystal at the PBE-GGA level of DFT.

abc: 6.465 6.465 6.465
angles: 90.00 90.00 90.00
Site moments in Bohr magnetons follow the coordinates.
Fractional coordinates of all 14 atoms:
Fe: 0.250 0.000 0.500  1.64
Fe: 0.000 0.500 0.250  1.64
Fe: 0.500 0.750 0.000  1.64
Fe: 0.750 0.000 0.500  1.64
Fe: 0.000 0.500 0.750  1.64
Fe: 0.500 0.250 0.000  1.64
Th: 0.500 0.500 0.500  -0.13
Th: 0.000 0.000 0.000  -0.13
Al: 0.000 0.250 0.500  -0.04
Al: 0.000 0.750 0.500  -0.04
Al: 0.500 0.000 0.750  -0.04
Al: 0.750 0.500 0.000  -0.04
Al: 0.500 0.000 0.250  -0.04
Al: 0.250 0.500 0.000  -0.04



No. 5
Computed, not measured: a relaxed ThAl6Fe3 crystal at the PBE-GGA level of DFT.

abc: 5.411 5.410 7.115
angles: 90.00 112.37 119.99
Site moments in Bohr magnetons follow the coordinates.
Fractional coordinates of all 10 atoms:
Th: 0.983 0.991 0.974  -0.07
Al: 0.270 0.387 0.657  -0.01
Al: 0.173 0.587 0.262  -0.01
Al: 0.676 0.089 0.263  -0.01
Al: 0.270 0.883 0.656  -0.01
Al: 0.773 0.387 0.657  -0.02
Al: 0.676 0.587 0.262  -0.01
Fe: 0.633 0.316 0.950  1.24
Fe: 0.299 0.649 0.948  1.19
Fe: 0.247 0.124 0.371  -0.25



No. 6
Computed, not measured: a relaxed Th2Al2Fe15 crystal at the PBE-GGA level of DFT.

abc: 6.462 6.462 6.462
angles: 81.39 81.39 81.39
Site moments in Bohr magnetons follow the coordinates.
Fractional coordinates of all 19 atoms:
Th: 0.347 0.347 0.347  -0.34
Th: 0.653 0.653 0.653  -0.34
Al: 0.100 0.100 0.100  -0.07
Al: 0.900 0.900 0.900  -0.07
Fe: 0.500 0.000 0.000  1.82
Fe: 0.000 0.000 0.500  1.82
Fe: 0.000 0.500 0.000  1.82
Fe: 0.000 0.708 0.292  2.17
Fe: 0.708 0.292 0.000  2.17
Fe: 0.292 0.000 0.708  2.17
Fe: 0.292 0.708 0.000  2.17
Fe: 0.708 0.000 0.292  2.17
Fe: 0.000 0.292 0.708  2.17
Fe: 0.158 0.659 0.659  2.00
Fe: 0.659 0.659 0.158  2.00
Fe: 0.659 0.158 0.659  2.00
Fe: 0.842 0.341 0.341  2.00
Fe: 0.341 0.341 0.842  2.00
Fe: 0.341 0.842 0.341  2.00



No. 7
Computed, not measured: a relaxed ThAl7Fe5 crystal at the PBE-GGA level of DFT.

abc: 5.015 6.682 6.682
angles: 82.11 67.96 67.96
Site moments in Bohr magnetons follow the coordinates.
Fractional coordinates of all 13 atoms:
Th: 0.008 0.992 0.992  -0.14
Al: 0.656 0.344 0.344  -0.03
Al: 0.348 0.652 0.652  -0.03
Al: 0.990 0.357 0.662  -0.03
Al: 0.990 0.662 0.357  -0.03
Al: 0.272 0.228 0.228  -0.02
Al: 0.504 0.780 0.213  -0.03
Al: 0.504 0.213 0.780  -0.03
Fe: 0.497 0.001 0.502  1.73
Fe: 0.000 0.001 0.502  1.73
Fe: 0.497 0.502 0.001  1.73
Fe: 0.000 0.502 0.001  1.73
Fe: 0.733 0.767 0.767  2.18



No. 8
Computed, not measured: a relaxed Th3AlFe8 crystal at the PBE-GGA level of DFT.

abc: 5.128 5.128 8.908
angles: 73.27 73.27 60.00
Site moments in Bohr magnetons follow the coordinates.
Fractional coordinates of all 12 atoms:
Th: 0.375 0.375 0.874  -0.44
Th: 0.996 0.996 0.013  -0.37
Th: 0.503 0.503 0.490  -0.34
Al: 0.872 0.872 0.383  -0.03
Fe: 0.932 0.436 0.196  1.93
Fe: 0.445 0.939 0.676  1.95
Fe: 0.436 0.436 0.196  1.93
Fe: 0.939 0.939 0.676  1.95
Fe: 0.188 0.188 0.436  2.01
Fe: 0.688 0.688 0.936  1.88
Fe: 0.436 0.932 0.196  1.93
Fe: 0.939 0.445 0.676  1.95



No. 9
Computed, not measured: a relaxed Th6AlFe2 crystal at the PBE-GGA level of DFT.

abc: 8.463 8.463 8.463
angles: 103.03 111.74 113.84
Fractional coordinates of all 18 atoms:
Th: 0.524 0.703 0.820
Th: 0.476 0.297 0.180
Th: 0.117 0.297 0.820
Th: 0.883 0.703 0.180
Th: 0.803 0.760 0.563
Th: 0.197 0.240 0.437
Th: 0.197 0.760 0.957
Th: 0.803 0.240 0.043
Th: 0.690 0.358 0.667
Th: 0.310 0.642 0.333
Th: 0.310 0.977 0.667
Th: 0.690 0.023 0.333
Al: 0.000 0.500 0.500
Al: 0.000 0.000 0.000
Fe: 0.500 0.367 0.867
Fe: 0.500 0.633 0.133
Fe: 0.661 0.000 0.661
Fe: 0.339 0.000 0.339



No. 10
Computed, not measured: a relaxed ThAl2Fe3 crystal at the PBE-GGA level of DFT.

abc: 5.105 5.105 4.114
angles: 90.00 90.00 116.73
Site moments in Bohr magnetons follow the coordinates.
Fractional coordinates of all 6 atoms:
Th: 0.500 0.500 0.000  -0.17
Al: 0.000 0.500 0.500  -0.04
Al: 0.500 0.000 0.500  -0.04
Fe: 0.159 0.841 0.000  1.75
Fe: 0.841 0.159 0.000  1.75
Fe: 0.000 0.000 0.500  1.95

## Properties
E above lowest polymorph (eV per formula unit): 0.00



No. 11
Computed, not measured: a relaxed Th3Al2Fe4 crystal at the PBE-GGA level of DFT.

abc: 4.227 5.527 8.095
angles: 95.88 90.00 112.48
Site moments in Bohr magnetons follow the coordinates.
Fractional coordinates of all 9 atoms:
Th: 0.370 0.739 0.626  -0.18
Th: 0.000 0.000 0.000  -0.20
Th: 0.630 0.261 0.374  -0.18
Al: 0.332 0.665 0.219  -0.02
Al: 0.668 0.335 0.781  -0.02
Fe: 0.752 0.505 0.082  1.32
Fe: 0.079 0.158 0.628  1.52
Fe: 0.921 0.842 0.372  1.52
Fe: 0.248 0.495 0.918  1.32



No. 12
Computed, not measured: a relaxed ThAlFe5 crystal at the PBE-GGA level of DFT.

abc: 4.916 8.052 10.340
angles: 90.00 90.00 90.00
Site moments in Bohr magnetons follow the coordinates.
Fractional coordinates of all 28 atoms:
Th: 0.250 0.239 0.940  -0.28
Th: 0.750 0.261 0.440  -0.28
Th: 0.250 0.739 0.560  -0.28
Th: 0.750 0.761 0.060  -0.28
Al: 0.250 0.854 0.857  -0.06
Al: 0.750 0.646 0.357  -0.06
Al: 0.250 0.354 0.643  -0.06
Al: 0.750 0.146 0.143  -0.06
Fe: 0.250 0.592 0.019  2.12
Fe: 0.750 0.908 0.519  2.12
Fe: 0.250 0.092 0.481  2.12
Fe: 0.750 0.408 0.981  2.12
Fe: 0.750 0.311 0.747  2.03
Fe: 0.250 0.189 0.247  2.03
Fe: 0.750 0.811 0.753  2.03
Fe: 0.250 0.689 0.253  2.03
Fe: 0.250 0.942 0.107  2.01
Fe: 0.750 0.558 0.607  2.01
Fe: 0.250 0.442 0.393  2.01
Fe: 0.750 0.058 0.893  2.01
Fe: 0.995 0.435 0.190  1.94
Fe: 0.005 0.065 0.690  1.94
Fe: 0.505 0.935 0.310  1.94
Fe: 0.495 0.565 0.810  1.94
Fe: 0.005 0.565 0.810  1.94
Fe: 0.995 0.935 0.310  1.94
Fe: 0.495 0.065 0.690  1.94
Fe: 0.505 0.435 0.190  1.94



Formation energy from the elements list, top to bottom, in kcal/mol of atoms: -4.14; -7.99; 0.02; 11.23; -5.96; -2.32; -8.54; -1.65; -1.75; -6.89; -4.90; -3.33
Density of states at the Fermi level list, top to bottom, in states/eV per cell: 12.40; 6.24; 7.57; 9.99; 6.68; 22.59; 9.83; 11.75; 22.49; 4.61; 9.47; 26.34